Here is crystalline Li2SmAsSe4 at its relaxed geometry from Alexandria. Energies are from PBE-GGA.

Values from the calculation:
- formation energy (no corrections) (eV/atom) = -1.076
- size of the total moment (μB/atom) = 0.000
- crystal system = monoclinic

```
Li2SmAsSe4
1.0
-2.279 2.439 2.251
-2.799 -5.449 3.072
3.756 -1.690 5.634
Li Sm As Se
2 1 1 4
Direct
0.000 0.000 0.000
0.500 0.000 0.500
0.000 0.500 0.500
0.500 0.500 0.000
0.000 0.746 0.769
0.000 0.254 0.231
0.500 0.755 0.233
0.500 0.245 0.767
```

=====

Here is crystalline LiSnAs2Se at its relaxed geometry from Alexandria. Energies are from PBE-GGA.

Values from the calculation:
- excess energy over the best structure of this formula in the dataset (meV/atom) = 0
- formation energy (no corrections) (eV/atom) = 0.296
- size of the total moment (μB/atom) = 0.000
- crystal system = tetragonal

```
LiSnAs2Se
1.0
4.555 0.000 0.000
0.000 4.555 0.000
0.000 0.000 5.285
As Sn Se Li
2 1 1 1
Direct
0.000 0.500 0.000
0.500 0.000 0.000
0.500 0.500 0.500
0.000 0.000 0.500
0.000 0.000 0.000
```

=====

Here is crystalline Li2SnAsSe4 at its relaxed geometry from Alexandria. Energies are from PBE-GGA.

Values from the calculation:
- formation energy (no corrections) (eV/atom) = -0.603
- size of the total moment (μB/atom) = 0.000
- crystal system = monoclinic

```
Li2SnAsSe4
1.0
-0.089 3.920 0.179
-5.187 0.084 -4.428
-2.480 -0.350 6.441
Li Sn As Se
2 1 1 4
Direct
0.500 0.000 0.500
0.000 0.500 0.500
0.500 0.500 0.000
0.000 0.000 0.000
0.500 0.236 0.246
0.500 0.764 0.754
0.000 0.234 0.744
0.000 0.766 0.256
```

=====

| no. | calculated density (g/cm3) | DFT total energy (Ha/atom) |
| --- | --- | --- |
| 1 | 5.080 | -0.1642 |
| 2 | 5.368 | -0.1266 |
| 3 | 4.980 | -0.1435 |